ReRh2Br (meta-GGA SCAN, single point on PBEsol structure); energy = -156.485 eV/cell; M_tot = 0.0 μB per formula unit; space-group type = R-3m
1.0
-2.382 1.334 -0.664
-2.470 -1.306 0.294
-2.235 3.050 8.201
Br Re Rh
1 1 2
Cartesian
-3.544 1.539 3.915 Br
0.000 0.000 0.000 Re
-1.763 0.724 1.834 Rh
-5.325 2.354 5.996 Rh

HoTa5Ag2O15 (meta-GGA SCAN, single point on PBEsol structure); energy = -1202.547 eV/cell; M_tot = 0.0 μB per formula unit; space-group type = P4/mbm
1.0
3.884 0.000 0.000
0.000 12.445 0.000
0.000 0.000 12.445
Ho Ta Ag O
2 10 4 30
Cartesian
1.942 0.000 0.000 Ho
1.942 6.223 6.223 Ho
0.000 6.223 0.000 Ta
0.000 0.000 6.223 Ta
0.000 2.603 1.011 Ta
0.000 9.843 11.434 Ta
0.000 1.011 9.843 Ta
0.000 8.825 5.212 Ta
0.000 11.434 2.603 Ta
0.000 3.620 7.234 Ta
0.000 7.234 8.825 Ta
0.000 5.212 3.620 Ta
1.942 8.167 1.945 Ag
1.942 4.278 10.500 Ag
1.942 1.945 4.278 Ag
1.942 10.500 8.167 Ag
1.942 2.317 0.975 O
1.942 10.129 11.470 O
1.942 0.975 10.129 O
1.942 8.539 5.248 O
1.942 11.470 2.317 O
1.942 3.906 7.197 O
1.942 7.197 8.539 O
1.942 5.248 3.906 O
0.000 2.810 9.033 O
0.000 9.635 3.413 O
0.000 9.033 9.635 O
0.000 3.413 2.810 O
1.942 6.223 0.000 O
1.942 0.000 6.223 O
0.000 0.710 1.614 O
0.000 11.736 10.831 O
0.000 1.614 11.736 O
0.000 6.932 4.608 O
0.000 10.831 0.710 O
0.000 5.513 7.837 O
0.000 7.837 6.932 O
0.000 4.608 5.513 O
0.000 4.237 12.425 O
0.000 8.208 0.020 O
0.000 12.425 8.208 O
0.000 10.460 6.243 O
0.000 0.020 4.237 O
0.000 1.986 6.202 O
0.000 6.202 10.460 O
0.000 6.243 1.986 O

RbHfNb2As (meta-GGA SCAN, single point on PBEsol structure); energy = -156.962 eV/cell; M_tot = 0.0 μB per formula unit; ΔE_f = 2.580 eV/atom; space-group type = P4/mmm
1.0
-3.597 2.595 1.502
-2.459 -3.896 0.841
1.958 -0.163 4.971
Nb Hf As Rb
2 1 1 1
Cartesian
-1.229 -1.948 0.420 Nb
-1.799 1.297 0.751 Nb
-2.049 -0.732 3.657 Hf
0.979 -0.082 2.486 As
0.000 0.000 0.000 Rb

> Which value of energy does entry 1 give?

-156.485 eV/cell

> What is the M_tot in the third record?

0.0 μB per formula unit

> Which of these has the lowest energy?

HoTa5Ag2O15

> Among the records above, which one has the highest energy?

ReRh2Br